An optimized crystal structure of SmDy9Ho2, computed with PBE-GGA.

Structure (POSCAR):
```
SmDy9Ho2
1.0
-4.123 -2.453 -1.461
0.747 -3.404 3.606
-8.269 8.243 9.493
Dy Ho Sm
9 2 1
direct
0.500 0.000 0.832
0.000 0.500 0.168
0.500 0.500 0.666
0.000 0.500 0.500
0.500 0.000 0.168
0.500 0.000 0.500
0.500 0.500 0.000
0.500 0.500 0.334
0.000 0.500 0.832
0.000 0.000 0.334
0.000 0.000 0.666
0.000 0.000 0.000
```

Results
Energy of formation   20.7 meV per atom
V   378 Å³ per cell
Energy relative to the lowest polymorph listed for this composition   0.0000 eV/atom

***

An optimized crystal structure of La12Pr3Ag, computed with PBE-GGA.

Structure (POSCAR):
```
La12Pr3Ag
1.0
-2.697 -3.119 -3.165
1.934 -4.158 2.448
-16.020 0.371 13.285
La Pr Ag
12 3 1
direct
0.500 0.000 0.628
0.000 0.500 0.881
0.000 0.500 0.628
0.500 0.000 0.372
0.000 0.500 0.372
0.500 0.000 0.119
0.000 0.500 0.119
0.500 0.500 0.243
0.500 0.000 0.881
0.500 0.500 0.000
0.500 0.500 0.757
0.500 0.500 0.500
0.000 0.000 0.757
0.000 0.000 0.500
0.000 0.000 0.243
0.000 0.000 0.000
```

Results
Energy of formation   6.3 meV per atom
V   562 Å³ per cell

***

An optimized crystal structure of RbP2SeCl, computed with PBE-GGA.

Structure (POSCAR):
```
RbP2SeCl
1.0
7.253 0.000 0.000
0.000 7.253 0.000
0.000 0.000 6.003
Rb Se Cl P
1 1 1 2
direct
0.000 0.000 0.000
0.500 0.500 0.500
0.000 0.000 0.500
0.500 0.000 0.000
0.000 0.500 0.000
```

Results
Formation energy (no corrections)   1.28 eV per atom
V   316 Å³ per cell
Energy relative to the lowest polymorph listed for this composition   1.1843 eV/atom

***

An optimized crystal structure of Li3CaSi3, computed with PBE-GGA.

Structure (POSCAR):
```
Li3CaSi3
1.0
3.764 0.000 0.000
0.000 8.320 -4.751
0.000 -0.047 9.581
Si Li Ca
6 6 2
direct
0.250 0.048 0.587
0.250 0.413 0.461
0.750 0.461 0.048
0.250 0.539 0.952
0.750 0.587 0.539
0.750 0.952 0.413
0.750 0.332 0.235
0.750 0.765 0.097
0.250 0.668 0.765
0.250 0.097 0.332
0.750 0.903 0.668
0.250 0.235 0.903
0.250 0.667 0.333
0.750 0.333 0.667
```

Results
Formation energy (no corrections)   -0.30 eV per atom
V   299 Å³ per cell

***

An optimized crystal structure of Ta3CBr, computed with PBE-GGA.

Structure (POSCAR):
```
Ta3CBr
1.0
-0.051 -3.523 -2.583
-1.147 -2.482 3.407
-4.215 0.718 -0.896
C Ta Br
1 3 1
direct
0.000 0.000 0.000
0.000 0.500 0.000
0.000 0.000 0.500
0.500 0.000 0.000
0.500 0.500 0.500
```

Results
Formation energy (no corrections)   0.62 eV per atom
V   83 Å³ per cell
Energy relative to the lowest polymorph listed for this composition   0.0000 eV/atom

***

An optimized crystal structure of BeC2, computed with PBE-GGA.

Structure (POSCAR):
```
BeC2
1.0
7.007 0.000 0.000
0.000 7.007 0.000
0.000 0.000 1.525
C Be
4 2
direct
0.845 0.845 0.000
0.345 0.655 0.500
0.155 0.155 0.000
0.655 0.345 0.500
0.500 0.500 0.000
0.000 0.000 0.500
```

Results
Energy of formation   1813.4 meV per atom
V   75 Å³ per cell
Energy relative to the lowest polymorph listed for this composition   1.4269 eV/atom

***

An optimized crystal structure of Nd2Bi4O9, computed with PBE-GGA.

Structure (POSCAR):
```
Nd2Bi4O9
1.0
-5.842 1.635 -1.253
-4.313 -4.354 -0.894
-3.196 0.084 15.010
O Bi Nd
18 8 4
direct
0.923 0.383 0.422
0.000 0.282 0.750
0.306 0.078 0.578
0.718 0.000 0.750
0.306 0.616 0.078
0.078 0.306 0.078
0.282 0.000 0.250
0.282 0.718 0.750
0.616 0.306 0.578
0.694 0.922 0.422
0.718 0.282 0.250
0.384 0.694 0.422
0.922 0.694 0.922
0.383 0.923 0.922
0.077 0.617 0.578
0.000 0.718 0.250
0.694 0.384 0.922
0.617 0.077 0.078
0.333 0.333 0.478
0.667 0.667 0.307
0.667 0.667 0.807
0.333 0.333 0.978
0.667 0.667 0.022
0.333 0.333 0.693
0.667 0.667 0.522
0.333 0.333 0.193
0.000 0.000 0.861
0.000 0.000 0.639
0.000 0.000 0.361
0.000 0.000 0.139
```

Results
Formation energy (no corrections)   -1.90 eV per atom
V   510 Å³ per cell

***

An optimized crystal structure of Ce2MgHg2, computed with PBE-GGA.

Structure (POSCAR):
```
Ce2MgHg2
1.0
-4.232 2.203 0.162
-1.810 -3.930 6.140
2.966 5.381 4.319
Ce Mg Hg
4 2 4
direct
0.500 0.137 0.363
0.500 0.363 0.863
0.500 0.637 0.137
0.500 0.863 0.637
0.000 0.000 0.000
0.000 0.500 0.500
0.000 0.846 0.346
0.000 0.654 0.846
0.000 0.154 0.654
0.000 0.346 0.154
```

Results
Energy of formation   -263.9 meV per atom
V   269 Å³ per cell
Energy relative to the lowest polymorph listed for this composition   0.0000 eV/atom